# 1
# NdZn9Rh2 (PBE, relaxed)
# ΔH_f (0 K) in eV/atom: -0.34
# N(E_F) in states/eV/cell: 13.04
# Density in g/cm³: 8.05
# Electronic total energy in eV per atom: -2.92
data_NdZn9Rh2
_chemical_formula_sum 'Nd2 Zn18 Rh4'
_cell_length_a 6.9756
_cell_length_b 8.2264
_cell_length_c 8.2264
_cell_angle_alpha 79.64
_cell_angle_beta 64.91
_cell_angle_gamma 64.91
_symmetry_space_group_name_H-M 'P 1'
_symmetry_Int_Tables_number 1
_symmetry_space_group_name_Hall 'P 1'
loop_
_atom_site_label
_atom_site_fract_x
_atom_site_fract_y
_atom_site_fract_z
Zn1 0.0711 0.9147 0.3287
Zn2 0.3146 0.6713 0.0853
Zn3 0.4354 0.4147 0.8287
Zn4 0.4354 0.8287 0.4147
Zn5 0.6002 0.3287 0.0853
Zn6 0.7358 0.5853 0.8287
Zn7 0.6789 0.1713 0.5853
Zn8 0.6002 0.0853 0.3287
Zn9 0.0000 0.0000 0.0000
Zn10 0.0711 0.3287 0.9147
Zn11 0.1498 0.1713 0.4147
Zn12 0.6789 0.5853 0.1713
Zn13 0.3146 0.0853 0.6713
Zn14 0.0142 0.9147 0.6713
Zn15 0.1498 0.4147 0.1713
Zn16 0.7500 0.5000 0.5000
Zn17 0.0142 0.6713 0.9147
Zn18 0.7358 0.8287 0.5853
Nd1 0.2500 0.5000 0.5000
Nd2 0.5000 0.0000 0.0000
Rh1 0.3750 0.7500 0.7500
Rh2 0.8750 0.2500 0.7500
Rh3 0.8750 0.7500 0.2500
Rh4 0.8750 0.2500 0.2500

# 2
# ReC (PBE, relaxed)
# ΔH_f (0 K) in eV/atom: 1.09
# N(E_F) in states/eV/cell: 0.83
# Density in g/cm³: 16.70
# Electronic total energy in eV per atom: -9.75
data_ReC
_chemical_formula_sum 'Re1 C1'
_cell_length_a 2.7011
_cell_length_b 2.7011
_cell_length_c 2.7011
_cell_angle_alpha 90.00
_cell_angle_beta 90.00
_cell_angle_gamma 90.00
_symmetry_space_group_name_H-M 'P 1'
_symmetry_Int_Tables_number 1
_symmetry_space_group_name_Hall 'P 1'
loop_
_atom_site_label
_atom_site_fract_x
_atom_site_fract_y
_atom_site_fract_z
C1 0.0000 0.0000 0.0000
Re1 0.5000 0.5000 0.5000

# 3
# SiRhCl4 (PBE, relaxed)
# Formation energy from raw total energies in kcal/mol of atoms: 26.144
# N(E_F) in states/eV/cell: 8.48
# Density in g/cm³: 3.43
# Electronic total energy in eV per atom: -2.23
data_SiRhCl4
_chemical_formula_sum 'Si1 Rh1 Cl4'
_cell_length_a 5.7144
_cell_length_b 5.7144
_cell_length_c 5.7144
_cell_angle_alpha 60.00
_cell_angle_beta 60.00
_cell_angle_gamma 60.00
_symmetry_space_group_name_H-M 'P 1'
_symmetry_Int_Tables_number 1
_symmetry_space_group_name_Hall 'P 1'
loop_
_atom_site_label
_atom_site_fract_x
_atom_site_fract_y
_atom_site_fract_z
Cl1 0.3756 0.8731 0.3756
Cl2 0.3756 0.3756 0.3756
Cl3 0.3756 0.3756 0.8731
Cl4 0.8731 0.3756 0.3756
Si1 0.0000 0.0000 0.0000
Rh1 0.7500 0.7500 0.7500

# 4
# Tb2Nd2Er3 (PBE, relaxed)
# ΔH_f (0 K) in eV/atom: 0.22
# N(E_F) in states/eV/cell: 18.27
# Density in g/cm³: 7.99
# Electronic total energy in eV per atom: -4.42
data_Tb2Nd2Er3
_chemical_formula_sum 'Tb4 Nd4 Er6'
_cell_length_a 8.4269
_cell_length_b 8.4269
_cell_length_c 8.4269
_cell_angle_alpha 109.47
_cell_angle_beta 109.47
_cell_angle_gamma 109.47
_symmetry_space_group_name_H-M 'P 1'
_symmetry_Int_Tables_number 1
_symmetry_space_group_name_Hall 'P 1'
loop_
_atom_site_label
_atom_site_fract_x
_atom_site_fract_y
_atom_site_fract_z
Tb1 0.5815 0.0815 0.0815
Tb2 0.5000 0.4185 0.5000
Tb3 0.0000 0.0000 0.4185
Tb4 0.9185 0.5000 0.0000
Er1 0.2500 0.9464 0.1964
Er2 0.7500 0.5536 0.3036
Er3 0.0536 0.3036 0.2500
Er4 0.6964 0.7500 0.9464
Er5 0.8036 0.2500 0.5536
Er6 0.4464 0.1964 0.7500
Nd1 0.5000 0.8145 0.5000
Nd2 0.0000 0.0000 0.8145
Nd3 0.1855 0.6855 0.6855
Nd4 0.3145 0.5000 0.0000

# 5
# Ac6Tl3Te (PBE, relaxed)
# Formation energy from raw total energies in kcal/mol of atoms: -8.436
# N(E_F) in states/eV/cell: 20.90
# Density in g/cm³: 8.72
# Electronic total energy in eV per atom: -3.85
data_Ac6Tl3Te
_chemical_formula_sum 'Ac12 Tl6 Te2'
_cell_length_a 8.3532
_cell_length_b 9.9089
_cell_length_c 9.9089
_cell_angle_alpha 102.60
_cell_angle_beta 90.00
_cell_angle_gamma 90.00
_symmetry_space_group_name_H-M 'P 1'
_symmetry_Int_Tables_number 1
_symmetry_space_group_name_Hall 'P 1'
loop_
_atom_site_label
_atom_site_fract_x
_atom_site_fract_y
_atom_site_fract_z
Te1 0.0321 0.1641 0.8359
Te2 0.5321 0.8359 0.1641
Ac1 0.0965 0.7721 0.6774
Ac2 0.5965 0.2279 0.3226
Ac3 0.7665 0.0098 0.9902
Ac4 0.2268 0.4645 0.8682
Ac5 0.0965 0.3226 0.2279
Ac6 0.5965 0.6774 0.7721
Ac7 0.2132 0.7059 0.2941
Ac8 0.7268 0.5355 0.1318
Ac9 0.7132 0.2941 0.7059
Ac10 0.7268 0.8682 0.4645
Ac11 0.2268 0.1318 0.5355
Ac12 0.2665 0.9902 0.0098
Tl1 0.9879 0.0018 0.2742
Tl2 0.8512 0.5202 0.4798
Tl3 0.4879 0.2742 0.0018
Tl4 0.4879 0.9982 0.7258
Tl5 0.3512 0.4798 0.5202
Tl6 0.9879 0.7258 0.9982

# 6
# Ba2Ge3Pt5 (PBE, relaxed)
# ΔH_f (0 K) in eV/atom: -0.71
# N(E_F) in states/eV/cell: 11.56
# Density in g/cm³: 11.38
# Electronic total energy in eV per atom: -5.50
data_Ba2Ge3Pt5
_chemical_formula_sum 'Ba4 Ge6 Pt10'
_cell_length_a 6.3877
_cell_length_b 8.9113
_cell_length_c 8.9113
_cell_angle_alpha 69.99
_cell_angle_beta 69.00
_cell_angle_gamma 69.00
_symmetry_space_group_name_H-M 'P 1'
_symmetry_Int_Tables_number 1
_symmetry_space_group_name_Hall 'P 1'
loop_
_atom_site_label
_atom_site_fract_x
_atom_site_fract_y
_atom_site_fract_z
Pt1 0.6199 0.7656 0.9947
Pt2 0.9733 0.2767 0.2767
Pt3 0.2500 0.5000 0.5000
Pt4 0.8801 0.0053 0.2344
Pt5 0.1199 0.9947 0.7656
Pt6 0.0267 0.7233 0.7233
Pt7 0.4733 0.2767 0.2767
Pt8 0.5267 0.7233 0.7233
Pt9 0.3801 0.2344 0.0053
Pt10 0.7500 0.5000 0.5000
Ge1 0.6151 0.5163 0.2534
Ge2 0.7500 0.0000 0.0000
Ge3 0.2500 0.0000 0.0000
Ge4 0.3849 0.4837 0.7466
Ge5 0.1151 0.2534 0.5163
Ge6 0.8849 0.7466 0.4837
Ba1 0.8677 0.3717 0.8928
Ba2 0.3677 0.8928 0.3717
Ba3 0.6323 0.1072 0.6283
Ba4 0.1323 0.6283 0.1072

# 7
# K2LaW (PBE, relaxed)
# ΔH_f (0 K) in eV/atom: 1.40
# N(E_F) in states/eV/cell: 5.11
# Density in g/cm³: 5.37
# Electronic total energy in eV per atom: -3.62
data_K2LaW
_chemical_formula_sum 'K2 La1 W1'
_cell_length_a 7.3654
_cell_length_b 7.3654
_cell_length_c 3.0538
_cell_angle_alpha 90.00
_cell_angle_beta 90.00
_cell_angle_gamma 131.55
_symmetry_space_group_name_H-M 'P 1'
_symmetry_Int_Tables_number 1
_symmetry_space_group_name_Hall 'P 1'
loop_
_atom_site_label
_atom_site_fract_x
_atom_site_fract_y
_atom_site_fract_z
La1 0.5000 0.0000 0.5000
K1 0.0000 0.0000 0.0000
K2 0.5000 0.5000 0.0000
W1 0.0000 0.5000 0.5000

# 8
# Nb2NiI (PBE, relaxed)
# Formation energy from raw total energies in kcal/mol of atoms: 20.984
# N(E_F) in states/eV/cell: 5.56
# Density in g/cm³: 6.16
# Electronic total energy in eV per atom: -5.96
data_Nb2NiI
_chemical_formula_sum 'Nb4 Ni2 I2'
_cell_length_a 5.7334
_cell_length_b 5.7334
_cell_length_c 7.3166
_cell_angle_alpha 66.93
_cell_angle_beta 66.93
_cell_angle_gamma 90.00
_symmetry_space_group_name_H-M 'P 1'
_symmetry_Int_Tables_number 1
_symmetry_space_group_name_Hall 'P 1'
loop_
_atom_site_label
_atom_site_fract_x
_atom_site_fract_y
_atom_site_fract_z
I1 0.0000 0.0000 0.0000
I2 0.7500 0.2500 0.5000
Nb1 0.3750 0.4470 0.7500
Nb2 0.5530 0.1250 0.2500
Nb3 0.1970 0.6250 0.2500
Nb4 0.8750 0.8030 0.7500
Ni1 0.2500 0.7500 0.5000
Ni2 0.5000 0.5000 0.0000